No. 1
The following is a DFT calculation (PBE) of an optimized crystal structure of Cs2NbCdO4.

a = 6.351 Å, b = 6.351 Å, c = 6.351 Å
α = 97.00°, β = 116.04°, γ = 116.04°
Positions (direct):
Cs: 0.500 0.750 0.250
Cs: 0.000 0.000 0.000
Nb: 0.000 0.500 0.500
Cd: 0.500 0.250 0.750
O: 0.679 0.434 0.500
O: 0.066 0.245 0.566
O: 0.934 0.500 0.179
O: 0.321 0.821 0.755

Computed properties:
The crystal system is tetragonal. The space group is I-4. Its uncorrected formation energy is -1.7849 eV per atom. As for the density of states at the Fermi level: 3.6 states/eV per cell. As for the energy: -5.85 eV per atom.

=====

No. 2
The following is a DFT calculation (PBE) of an optimized crystal structure of NaLi2AgF8.

a = 4.817 Å, b = 4.730 Å, c = 6.734 Å
α = 89.99°, β = 90.00°, γ = 90.93°
Positions (direct):
Na: 0.000 0.000 0.500
Li: 0.500 0.500 0.771
Li: 0.500 0.500 0.229
Ag: 0.000 0.000 0.000
F: 0.181 0.788 0.223
F: 0.680 0.709 0.000
F: 0.818 0.212 0.223
F: 0.819 0.212 0.777
F: 0.320 0.291 0.000
F: 0.182 0.788 0.777
F: 0.607 0.678 0.500
F: 0.393 0.322 0.500

Computed properties:
The crystal system is monoclinic. The space group is P2/m. Its uncorrected formation energy is -1.7786 eV per atom. As for the density of states at the Fermi level: 4.5 states/eV per cell. As for the energy: -3.69 eV per atom.

=====

No. 3
The following is a DFT calculation (PBE) of an optimized crystal structure of Ca2PPb2.

a = 7.791 Å, b = 7.791 Å, c = 4.743 Å
α = 90.00°, β = 90.00°, γ = 90.00°
Positions (direct):
Pb: 0.360 0.860 0.000
Pb: 0.860 0.640 0.000
Pb: 0.640 0.140 0.000
Pb: 0.140 0.360 0.000
P: 0.000 0.000 0.000
P: 0.500 0.500 0.000
Ca: 0.169 0.669 0.500
Ca: 0.669 0.831 0.500
Ca: 0.831 0.331 0.500
Ca: 0.331 0.169 0.500

Computed properties:
The crystal system is tetragonal. Its formation energy is -0.29 eV per atom. The space group is P4/mbm. As for the density of states at the Fermi level: 5.0 states/eV per cell. As for the energy: -3.66 eV per atom.